# 1
VASP calculation (PBE) on an optimized crystal structure of BaRuPb2.

a = 5.3046 Å, b = 5.3046 Å, c = 5.3046 Å
α = 60.00°, β = 60.00°, γ = 60.00°
Sites, in units of the cell vectors:
Pb: 0.2500 0.2500 0.2500
Ba: 0.5000 0.5000 0.5000
Ru: 0.0000 0.0000 0.0000
Pb: 0.7500 0.7500 0.7500

---

# 2
VASP calculation (PBE) on an optimized crystal structure of Ba2Ru2Pb.

a = 6.2906 Å, b = 6.2906 Å, c = 5.9313 Å
α = 57.97°, β = 57.97°, γ = 90.00°
Sites, in units of the cell vectors:
Pb: 0.0000 0.0000 0.0000
Ba: 0.7500 0.2500 0.5000
Ru: 0.6507 0.6507 0.6985
Ru: 0.3493 0.3493 0.3015
Ba: 0.2500 0.7500 0.5000

---

# 3
VASP calculation (PBE) on an optimized crystal structure of BaRuPb2.

a = 6.0484 Å, b = 6.0484 Å, c = 9.4277 Å
α = 71.29°, β = 71.29°, γ = 90.00°
Sites, in units of the cell vectors:
Pb: 0.4386 0.1250 0.2500
Pb: 0.3750 0.5614 0.7500
Ru: 0.2500 0.7500 0.5000
Ba: 0.7500 0.2500 0.5000
Ba: 0.0000 0.0000 0.0000
Pb: 0.8750 0.6886 0.7500
Pb: 0.3114 0.6250 0.2500
Ru: 0.5000 0.5000 0.0000

---

# 4
VASP calculation (PBE) on an optimized crystal structure of BaRuPb4.

a = 6.4678 Å, b = 6.4678 Å, c = 6.4678 Å
α = 60.00°, β = 60.00°, γ = 60.00°
Sites, in units of the cell vectors:
Ru: 0.7500 0.7500 0.7500
Ba: 0.0000 0.0000 0.0000
Pb: 0.3761 0.8717 0.3761
Pb: 0.3761 0.3761 0.3761
Pb: 0.8717 0.3761 0.3761
Pb: 0.3761 0.3761 0.8717

---

# 5
VASP calculation (PBE) on an optimized crystal structure of BaRuPb2.

a = 3.7070 Å, b = 3.7067 Å, c = 8.2381 Å
α = 90.00°, β = 90.00°, γ = 90.00°
Sites, in units of the cell vectors:
Ba: 0.5000 0.5000 0.7195
Pb: 0.0000 0.0000 0.0497
Pb: 0.5000 0.5000 0.3037
Ru: 0.0000 0.0000 0.4272

---

# 6
VASP calculation (PBE) on an optimized crystal structure of BaRuPb2.

a = 7.9147 Å, b = 7.9147 Å, c = 7.9147 Å
α = 154.26°, β = 146.87°, γ = 42.42°
Sites, in units of the cell vectors:
Ru: 0.4837 0.4837 0.0000
Pb: 0.9967 0.9967 0.0000
Pb: 0.3342 0.8342 0.5000
Ba: 0.6854 0.1854 0.5000

---

no.,total energy (eV/atom)
1,-4.367
2,-4.667
3,-4.430
4,-3.885
5,-4.451
6,-4.507